Tl3Fe after structural relaxation, computed with PBE.

```
Tl3Fe
1.0
5.6046 0.0000 0.0000
0.0000 5.6046 0.0000
0.0000 0.0000 3.2224
Fe Tl
1 3
direct
0.0000 0.0000 0.0000
0.5000 0.0000 0.5000
0.5000 0.5000 0.0000
0.0000 0.5000 0.5000
```

Results
For the formation energy, the calculation gives 2.312 eV/f.u. Its space group is No. 123. The total magnetic moment comes out at 3.11 μB per cell. For the calculated volume, the calculation gives 101.2 Å³ per cell. Its energy is -3.312 eV per atom.